FeCuW4 | PBE | relaxed

For the formation energy, the calculation gives 0.774 eV/atom. The calculation puts the raw total energy at -238.91 eV for the cell shown.

The structure belongs to space group F-43m (No. 216); the cell edges are 7.357, 7.357 and 7.357 Å and the angles 90.00°, 90.00° and 90.00°. Symmetry generates all atoms from Fe at (0.000, 0.000, 0.000), Cu at (0.250, 0.250, 0.250) and W at (0.124, 0.124, 0.624).

***

SiW2 | PBE | relaxed

The calculation puts the uncorrected formation energy at 0.7099 eV/atom. Its polymorph energy (0 for the lowest one) is 83.0 kJ per mole of atoms. The calculation puts the raw total energy at -58.40 eV for the cell shown.

The structure belongs to space group P6_3/mmc (No. 194); the cell edges are 4.4544, 4.4544 and 5.7397 Å and the angles 90.00°, 90.00° and 120.00°. Symmetry generates all atoms from Si at (0.0000, 0.0000, 0.2500) and W at (0.3333, 0.6667, 0.0357).

***

CeBr4 | PBE | relaxed

The calculation puts the uncorrected formation energy at -1.4040 eV/atom. The calculation puts the raw total energy at -39.29 eV for the cell shown.

The structure belongs to space group P-42_1c (No. 114); the cell edges are 6.567, 6.567 and 7.275 Å and the angles 90.00°, 90.00° and 90.00°. Symmetry generates all atoms from Ce at (0.000, 0.000, 0.000) and Br at (0.201, 0.252, 0.352).

***

TbEr5Bi4 | PBE | relaxed

For the formation energy, the calculation gives -0.536 eV/atom. The calculation puts the raw total energy at -96.66 eV for the cell shown.

The structure belongs to space group C2/m (No. 12); the cell edges are 19.768, 4.373 and 7.658 Å and the angles 90.00°, 101.37° and 90.00°. Symmetry generates all atoms from Tb at (0.000, 0.000, 0.000), Er at (0.000, 0.000, 0.500), Er at (0.189, 0.500, 0.086), Er at (0.197, 0.500, 0.613), Bi at (0.063, 0.500, 0.778) and Bi at (0.135, 0.000, 0.326).

***

YHSe3 | PBE | relaxed

Its polymorph energy (0 for the lowest one) is 0.0 kJ per mole of atoms. The calculation puts the raw total energy at -21.31 eV for the cell shown.

The structure belongs to space group Pm-3m (No. 221); the cell edges are 4.508, 4.508 and 4.508 Å and the angles 90.00°, 90.00° and 90.00°. Symmetry generates all atoms from Y at (0.000, 0.000, 0.000), H at (0.500, 0.500, 0.500) and Se at (0.000, 0.500, 0.500).

***

AlZnSi2 | PBE | relaxed

The calculation puts the uncorrected formation energy at 0.2709 eV/atom. Its polymorph energy (0 for the lowest one) is 4.9 kJ per mole of atoms. The calculation puts the raw total energy at -44.34 eV for the cell shown.

The structure belongs to space group R3m (No. 160, hexagonal axes); the cell edges are 3.0101, 3.0101 and 23.9968 Å and the angles 90.00°, 90.00° and 120.00°. Symmetry generates all atoms from Al at (0.0000, 0.0000, 0.0000), Zn at (0.0000, 0.0000, 0.2457), Si at (0.0000, 0.0000, 0.4944) and Si at (0.0000, 0.0000, 0.7519).

***

BaTl10Hg2 | PBE | relaxed

For the formation energy, the calculation gives -0.078 eV/atom. The calculation puts the raw total energy at -108.82 eV for the cell shown.

The structure belongs to space group Fmmm (No. 69); the cell edges are 6.401, 15.932 and 16.122 Å and the angles 90.00°, 90.00° and 90.00°. Symmetry generates all atoms from Ba at (0.000, 0.000, 0.000), Tl at (0.000, 0.108, 0.396), Tl at (0.000, 0.181, 0.176), Tl at (0.250, 0.000, 0.250) and Hg at (0.250, 0.250, 0.000).

***

CaSb2IrO | PBE | relaxed

The calculation puts the uncorrected formation energy at 1.7647 eV/atom. The calculation puts the raw total energy at -15.24 eV for the cell shown.

The structure belongs to space group P4/mmm (No. 123); the cell edges are 5.655, 5.655 and 4.808 Å and the angles 90.00°, 90.00° and 90.00°. Symmetry generates all atoms from Ca at (0.000, 0.000, 0.000), Sb at (0.000, 0.500, 0.000), Ir at (0.000, 0.000, 0.500) and O at (0.500, 0.500, 0.500).